[1]
This record from the Open Quantum Materials Database describes ScGaCoCu after structural relaxation. The functional is GGA-PBE.

Calculated values
E_tot = -5.191 eV per atom
E above lowest polymorph = 72 kJ/mol of formula units
calculated volume = 58.1 Å³/cell
space group = No. 216

```
4
Lattice="-4.210 -1.027 -0.341 -2.835 1.440 2.963 -2.902 3.053 -1.072" Properties=species:S:1:pos:R:3 pbc="T T T"
Co -7.460 2.600 1.162
Cu 0.000 0.000 0.000
Ga -2.487 0.867 0.387
Sc -4.973 1.733 0.775
```

[2]
This record from the Open Quantum Materials Database describes ScGaCoCu after structural relaxation. The functional is GGA-PBE.

Calculated values
E_tot = -5.261 eV per atom
E above lowest polymorph = 45 kJ/mol of formula units
calculated volume = 57.1 Å³/cell
space group = No. 216

```
4
Lattice="0.000 3.056 3.056 3.056 0.000 3.056 3.056 3.056 0.000" Properties=species:S:1:pos:R:3 pbc="T T T"
Co 0.000 0.000 0.000
Cu 4.585 4.585 4.585
Ga 1.528 1.528 1.528
Sc 3.056 3.056 3.056
```

[3]
This record from the Open Quantum Materials Database describes TaGaCoCu after structural relaxation. The functional is GGA-PBE.

Calculated values
E_tot = -6.365 eV per atom
E above lowest polymorph = 90 kJ/mol of formula units
calculated volume = 54.4 Å³/cell
space group = No. 216

```
4
Lattice="-0.930 -4.151 0.014 -2.892 -1.523 2.723 -3.774 -1.339 -1.435" Properties=species:S:1:pos:R:3 pbc="T T T"
Co -5.697 -5.260 0.976
Cu -3.798 -3.507 0.651
Ga 0.000 0.000 0.000
Ta -1.899 -1.753 0.325
```

[4]
This record from the Open Quantum Materials Database describes TaGaCoCu after structural relaxation. The functional is GGA-PBE.

Calculated values
E_tot = -6.452 eV per atom
E above lowest polymorph = 57 kJ/mol of formula units
calculated volume = 54.5 Å³/cell
space group = No. 216

```
4
Lattice="0.000 3.010 3.010 3.010 0.000 3.010 3.010 3.010 0.000" Properties=species:S:1:pos:R:3 pbc="T T T"
Co 3.010 3.010 3.010
Cu 4.514 4.514 4.514
Ga 0.000 0.000 0.000
Ta 1.505 1.505 1.505
```

| no. | spin magnetization (μB/atom) |
| --- | --- |
| 1 | 0.2539 |
| 2 | 0.1847 |
| 3 | 0.0614 |
| 4 | 0.0218 |